Density functional theory data (PBE) for a relaxed AlCuSn2 crystal.

Lattice parameters (Å, degrees): 3.1931 3.1931 29.7234 90.00 90.00 120.00
Space group R-3m (No. 166, hexagonal axes)
Inequivalent atoms, fractional coordinates:
Al (0.0000, 0.0000, 0.0000) (multiplicity 3)
Cu (0.0000, 0.0000, 0.5000) (multiplicity 3)
Sn (0.0000, 0.0000, 0.0963) (multiplicity 6)

VASP energy (hartree per atom): -0.1374
Total magnetization (μB per cell): 0.00
Density (g/cm³): 6.225

Density functional theory data (PBE) for a relaxed TmThFe10 crystal.

Lattice parameters (Å, degrees): 3.985 5.016 8.670 90.00 90.00 90.00
Space group Pmmm (No. 47)
Inequivalent atoms, fractional coordinates:
Tm (0.000, 0.000, 0.000) (multiplicity 1)
Th (0.000, 0.500, 0.500) (multiplicity 1)
Fe (0.000, 0.000, 0.329) (multiplicity 2)
Fe (0.000, 0.500, 0.163) (multiplicity 2)
Fe (0.500, 0.000, 0.500) (multiplicity 1)
Fe (0.500, 0.248, 0.244) (multiplicity 4)
Fe (0.500, 0.500, 0.000) (multiplicity 1)

VASP energy (hartree per atom): -0.2977
Total magnetization (μB per cell): 19.79
Density (g/cm³): 9.193

Density functional theory data (PBE) for a relaxed ScFeBr2 crystal.

Lattice parameters (Å, degrees): 3.549 3.549 7.506 90.00 90.00 90.00
Space group P4mm (No. 99)
Inequivalent atoms, fractional coordinates:
Sc (0.000, 0.000, 0.000) (multiplicity 1)
Fe (0.500, 0.500, 0.863) (multiplicity 1)
Br (0.000, 0.000, 0.651) (multiplicity 1)
Br (0.500, 0.500, 0.199) (multiplicity 1)

Uncorrected formation energy (eV per atom): -0.425
Excess energy over the best structure of this formula in the dataset (eV/f.u.): 0.51
Total magnetization (μB per cell): 1.16
Density (g/cm³): 4.579

Density functional theory data (PBE) for a relaxed YTe2Pb crystal.

Lattice parameters (Å, degrees): 3.814 3.958 8.629 90.00 90.55 90.00
Space group P2/m (No. 10)
Inequivalent atoms, fractional coordinates:
Y (0.000, 0.000, 0.000) (multiplicity 1)
Te (0.497, 0.500, 0.800) (multiplicity 2)
Pb (0.500, 0.000, 0.500) (multiplicity 1)

Uncorrected formation energy (eV per atom): -0.793
Total magnetization (μB per cell): 0.00
Density (g/cm³): 7.029

Density functional theory data (PBE) for a relaxed YAlCr2 crystal.

Lattice parameters (Å, degrees): 3.756 4.042 8.553 90.00 90.00 90.00
Space group Cmmm (No. 65)
Inequivalent atoms, fractional coordinates:
Y (0.000, 0.000, 0.000) (multiplicity 2)
Al (0.000, 0.000, 0.500) (multiplicity 2)
Cr (0.000, 0.500, 0.286) (multiplicity 4)

VASP energy (hartree per atom): -0.2501
Total magnetization (μB per cell): 0.00
Density (g/cm³): 5.623

Density functional theory data (PBE) for a relaxed RbBaNaCd crystal.

Lattice parameters (Å, degrees): 9.032 9.032 9.032 90.00 90.00 90.00
Space group F-43m (No. 216)
Inequivalent atoms, fractional coordinates:
Rb (0.000, 0.000, 0.000) (multiplicity 4)
Ba (0.000, 0.000, 0.500) (multiplicity 4)
Na (0.250, 0.250, 0.750) (multiplicity 4)
Cd (0.250, 0.250, 0.250) (multiplicity 4)

VASP energy (hartree per atom): -0.0467
Total magnetization (μB per cell): 0.00
Density (g/cm³): 3.229